1.
Below is a relaxed AcThS3 crystal, with properties calculated at the PBE level.

Computed properties:
* raw formation energy: -1.863 eV per atom
* E above lowest polymorph: 0.97 eV/f.u.
* final energy: -66.4 eV per cell

```
AcThS3
1.0
-4.3639 -0.3630 -1.0967
2.3379 -3.6696 1.2027
-3.9053 2.3503 14.7621
Ac Th S
2 2 6
Cartesian
-3.1884 -0.8283 3.6704
-2.9071 -0.7553 11.8179
-3.8739 2.3314 14.6432
-1.9212 1.1562 7.2621
-2.6642 1.6034 10.0708
-0.7116 0.4282 2.6898
-5.5868 0.6152 12.7365
-1.4002 -1.6622 6.1220
-0.0706 -2.4624 1.0959
-4.2571 -0.1850 7.7105
```

=====

2.
Below is a relaxed SnPPtO crystal, with properties calculated at the PBE level.

Computed properties:
* raw formation energy: -0.772 eV per atom
* E above lowest polymorph: 0.16 eV/f.u.
* final energy: -23.5 eV per cell

```
SnPPtO
1.0
3.1597 0.0320 0.0004
1.5543 4.1679 0.0204
0.0061 0.1310 5.5163
Sn P Pt O
1 1 1 1
Cartesian
3.6621 2.6797 4.2421
0.5018 0.2889 1.0609
3.6555 2.7541 1.4920
0.5071 0.5168 4.9415
```

=====

3.
Below is a relaxed KBPb crystal, with properties calculated at the PBE level.

Computed properties:
* E above lowest polymorph: 3.39 eV/f.u.
* final energy: -7.7 eV per cell
* E_form: 1267 meV/atom

```
KBPb
1.0
-1.1546 -3.6903 3.0067
-4.1139 0.1965 2.6512
-3.7531 -2.9563 -1.0799
Pb K B
1 1 1
Cartesian
-4.5108 -3.2250 2.2890
-2.2554 -1.6125 1.1445
-6.7662 -4.8375 3.4335
```

=====

4.
Below is a relaxed Sm3SiGe3 crystal, with properties calculated at the PBE level.

Computed properties:
* raw formation energy: -0.703 eV per atom
* final energy: -76.7 eV per cell

```
Sm3SiGe3
1.0
4.2758 0.0000 0.6441
2.0830 5.4457 0.6866
0.1208 0.4972 13.7128
Sm Si Ge
6 2 6
Cartesian
3.0037 2.2258 9.0892
3.4759 3.7171 5.9543
1.6592 1.3835 3.5000
4.8204 4.5594 11.5435
2.3955 2.0416 13.1264
4.0840 3.9012 1.9172
3.5029 0.6383 5.7750
2.9767 5.3046 9.2685
5.2825 4.3786 8.4756
1.1971 1.5642 6.5679
2.3705 5.0392 13.2926
4.1091 0.9037 1.7509
5.9140 4.4535 4.2836
0.5656 1.4893 10.7599
```

=====

5.
Below is a relaxed As2PdPtSe crystal, with properties calculated at the PBE level.

Computed properties:
* raw formation energy: 0.683 eV per atom
* E above lowest polymorph: 0.00 eV/f.u.
* final energy: -20.6 eV per cell

```
As2PdPtSe
1.0
4.7945 0.0000 0.0000
0.0000 4.7945 0.0000
0.0000 0.0000 5.1785
As Se Pd Pt
2 1 1 1
Cartesian
0.0000 2.3972 0.0000
2.3972 0.0000 0.0000
0.0000 0.0000 2.5893
2.3972 2.3972 2.5893
0.0000 0.0000 0.0000
```

=====

6.
Below is a relaxed MnGaSb2I crystal, with properties calculated at the PBE level.

Computed properties:
* raw formation energy: 0.781 eV per atom
* E above lowest polymorph: 2.37 eV/f.u.
* final energy: -18.1 eV per cell

```
MnGaSb2I
1.0
-0.4448 -5.2694 0.7267
3.4308 0.2731 4.0802
-4.2952 0.8527 3.5545
I Sb Mn Ga
1 2 1 1
Cartesian
-2.1476 0.4264 1.7772
1.7154 0.1365 2.0401
-0.2224 -2.6347 0.3633
-0.6546 -2.0718 4.1807
0.0000 0.0000 0.0000
```